<i>
Compound: AcIn2Ag
Source: Alexandria
Functional: GGA-PBE
Structure: relaxed

As for the volume: 113.3 Å³ per cell.

The space group is P4/mmm (No. 123) and the conventional cell measures 4.737, 4.737 and 5.050 Å, with angles of 90.00, 90.00 and 90.00 degrees. The inequivalent atoms are Ac at (0.000, 0.000, 0.000), In at (0.000, 0.500, 0.500) and Ag at (0.500, 0.500, 0.000).

<ii>
Compound: AcIn2Ag
Source: Alexandria
Functional: GGA-PBE
Structure: relaxed

As for the volume: 445.3 Å³ per cell.

The space group is Fm-3m (No. 225) and the conventional cell measures 7.636, 7.636 and 7.636 Å, with angles of 90.00, 90.00 and 90.00 degrees. The inequivalent atoms are Ac at (0.000, 0.000, 0.000), In at (0.250, 0.250, 0.250) and Ag at (0.000, 0.000, 0.500).

Most stable to least stable: <i>, <ii>

<i>
Compound: AcIn3Ag
Source: Alexandria
Functional: GGA-PBE
Structure: relaxed

As for the volume: 272.6 Å³ per cell.

The space group is I4mm (No. 107) and the conventional cell measures 4.729, 4.729 and 12.192 Å, with angles of 90.00, 90.00 and 90.00 degrees. The inequivalent atoms are Ac at (0.000, 0.000, 0.000), In at (0.000, 0.000, 0.396), In at (0.000, 0.500, 0.244) and Ag at (0.000, 0.000, 0.617).

<ii>
Compound: AcIn3Ag
Source: Alexandria
Functional: GGA-PBE
Structure: relaxed

As for the volume: 543.9 Å³ per cell.

The space group is Pnma (No. 62) and the conventional cell measures 9.497, 4.792 and 11.950 Å, with angles of 90.00, 90.00 and 90.00 degrees. The inequivalent atoms are Ac at (0.190, 0.250, 0.003), In at (0.073, 0.250, 0.600), In at (0.116, 0.750, 0.798), In at (0.128, 0.750, 0.207) and Ag at (0.099, 0.250, 0.362).

Most stable to least stable: <i>, <ii>